{"formula": "MgNiP2O", "functional": "PBE+U", "state": "optimized geometry", "lattice": [[4.8835, 0.0000, 0.0000], [0.0000, 4.8835, 0.0000], [0.0000, 0.0000, 3.5761]], "species": ["Mg", "Ni", "P", "P", "O"], "fractional_positions": [[0.0000, 0.0000, 0.0000], [0.5000, 0.5000, 0.5000], [0.0000, 0.5000, 0.0000], [0.5000, 0.0000, 0.0000], [0.0000, 0.0000, 0.5000]], "rho_g_cm3": 3.13, "total_magnetization_mub_per_fu": 0.0, "relative_energy_kj_per_mol_atoms": 61.52}